The following is a PBE calculation of NaTl4HgPd2 after structural relaxation, from Alexandria via LeMat-Bulk.

a = 5.558 Å, b = 5.558 Å, c = 6.557 Å
α = 90.00°, β = 90.00°, γ = 90.00°
Element x y z (fractional)
Hg 0.000 0.000 0.500
Pd 0.500 0.500 0.286
Pd 0.500 0.500 0.714
Tl 0.500 0.000 0.751
Tl 0.000 0.500 0.249
Tl 0.500 0.000 0.249
Tl 0.000 0.500 0.751
Na 0.000 0.000 0.000

Output
DOS at the Fermi energy ... 0.34 states/eV/atom
Calculated total energy ... -2.661 eV per atom
Size of the total moment ... 0.000 μB/f.u.
Mass density ... 10.28 g cm⁻³